# NaSr2HfAg

A relaxed structure of NaSr2HfAg (PBE, Alexandria via LeMat-Bulk).

Computed properties:
The calculation puts the final energy at -0.1858 Ry per atom. As for the formation energy: 0.97 eV per atom. For the size of the total moment, the calculation gives 2.579 μB per formula unit. The calculation puts the calculated volume at 36.273 Å³/atom.

POSCAR file:
```
NaSr2HfAg
1.0
6.058 0.000 0.000
0.000 6.058 0.000
0.000 0.000 4.942
Na Sr Hf Ag
1 2 1 1
Direct
0.000 0.000 0.000
0.000 0.500 0.000
0.500 0.000 0.000
0.500 0.500 0.500
0.000 0.000 0.500
```

---

# Na3Hf2AgTe6

A relaxed structure of Na3Hf2AgTe6 (PBE, Alexandria via LeMat-Bulk).

Computed properties:
The calculation puts the final energy at -0.3345 Ry per atom. For the size of the total moment, the calculation gives 0.000 μB per formula unit. The formation energy without anion corrections comes out at -754.2 meV/atom. The calculation puts the calculated volume at 29.571 Å³/atom.

POSCAR file:
```
Na3Hf2AgTe6
1.0
3.696 -6.424 0.000
3.696 6.424 0.000
-2.472 0.000 7.472
Na Hf Ag Te
3 2 1 6
Direct
0.000 0.000 0.000
0.342 0.658 0.000
0.658 0.342 0.000
0.169 0.831 0.500
0.831 0.169 0.500
0.500 0.500 0.500
0.074 0.425 0.278
0.222 0.222 0.717
0.425 0.074 0.278
0.575 0.926 0.722
0.778 0.778 0.283
0.926 0.575 0.722
```

---

# Na2HfAgTe4

A relaxed structure of Na2HfAgTe4 (PBE, Alexandria via LeMat-Bulk).

Computed properties:
The calculation puts the final energy at -0.3034 Ry per atom. For the size of the total moment, the calculation gives 0.000 μB per formula unit. The formation energy without anion corrections comes out at -627.3 meV/atom. The calculation puts the calculated volume at 29.930 Å³/atom.

POSCAR file:
```
Na2HfAgTe4
1.0
7.726 0.000 0.000
0.000 4.179 0.000
-2.903 0.000 7.416
Na Hf Ag Te
2 1 1 4
Direct
0.000 0.000 0.000
0.500 0.500 0.000
0.000 0.500 0.500
0.500 0.000 0.500
0.214 0.000 0.737
0.260 0.500 0.308
0.740 0.500 0.692
0.786 0.000 0.263
```

---

# NaHfZn2Ag

A relaxed structure of NaHfZn2Ag (PBE, Alexandria via LeMat-Bulk).

Computed properties:
The calculation puts the final energy at -0.1530 Ry per atom. As for the formation energy: 1.25 eV per atom. For the size of the total moment, the calculation gives 0.000 μB per formula unit. The calculation puts the calculated volume at 22.847 Å³/atom.

POSCAR file:
```
NaHfZn2Ag
1.0
4.683 0.000 0.000
0.000 4.683 0.000
0.000 0.000 5.209
Na Hf Zn Ag
1 1 2 1
Direct
0.000 0.000 0.000
0.000 0.000 0.500
0.000 0.500 0.000
0.500 0.000 0.000
0.500 0.500 0.500
```

---

# HfNb2Ag

A relaxed structure of HfNb2Ag (PBE, Alexandria via LeMat-Bulk).

Computed properties:
The calculation puts the final energy at -0.5664 Ry per atom. For the excess energy over the best structure of this formula in the dataset, the calculation gives 189.0 meV per atom. As for the formation energy: 0.53 eV per atom. For the size of the total moment, the calculation gives 0.000 μB per formula unit. The calculation puts the calculated volume at 20.223 Å³/atom.

POSCAR file:
```
HfNb2Ag
1.0
-1.973 1.973 10.386
1.973 -1.973 10.386
1.973 1.973 -10.386
Hf Nb Ag
2 4 2
Direct
0.000 0.000 0.000
0.750 0.250 0.500
0.118 0.625 0.993
0.375 0.368 0.493
0.632 0.125 0.007
0.875 0.882 0.507
0.250 0.750 0.500
0.500 0.500 0.000
```

---

# Hf2NbAg2

A relaxed structure of Hf2NbAg2 (PBE, Alexandria via LeMat-Bulk).

Computed properties:
The calculation puts the final energy at -0.5210 Ry per atom. For the excess energy over the best structure of this formula in the dataset, the calculation gives 0.0 meV per atom. As for the formation energy: 0.05 eV per atom. For the size of the total moment, the calculation gives 0.000 μB per formula unit. The calculation puts the calculated volume at 20.359 Å³/atom.

POSCAR file:
```
Hf2NbAg2
1.0
1.833 -8.633 0.000
1.833 8.633 0.000
0.000 0.000 3.216
Hf Nb Ag
2 1 2
Direct
0.096 0.904 0.000
0.904 0.096 0.000
0.500 0.500 0.500
0.310 0.690 0.500
0.690 0.310 0.500
```

---

# HfNb2Ag

A relaxed structure of HfNb2Ag (PBE, Alexandria via LeMat-Bulk).

Computed properties:
The calculation puts the final energy at -0.5802 Ry per atom. For the excess energy over the best structure of this formula in the dataset, the calculation gives 0.0 meV per atom. As for the formation energy: 0.34 eV per atom. For the size of the total moment, the calculation gives 0.000 μB per formula unit. The calculation puts the calculated volume at 18.807 Å³/atom.

POSCAR file:
```
HfNb2Ag
1.0
0.000 3.351 3.351
3.351 0.000 3.351
3.351 3.351 0.000
Hf Nb Ag
1 2 1
Direct
0.000 0.000 0.000
0.250 0.250 0.250
0.750 0.750 0.750
0.500 0.500 0.500
```

---

# Hf2NbAg

A relaxed structure of Hf2NbAg (PBE, Alexandria via LeMat-Bulk).

Computed properties:
The calculation puts the final energy at -0.6050 Ry per atom. For the excess energy over the best structure of this formula in the dataset, the calculation gives 0.0 meV per atom. As for the formation energy: -0.03 eV per atom. For the size of the total moment, the calculation gives 0.000 μB per formula unit. The calculation puts the calculated volume at 19.988 Å³/atom.

POSCAR file:
```
Hf2NbAg
1.0
3.408 0.000 0.000
0.000 3.408 0.000
0.000 0.000 6.885
Hf Nb Ag
2 1 1
Direct
0.000 0.000 0.238
0.000 0.000 0.762
0.500 0.500 0.000
0.500 0.500 0.500
```

---

# Hf3NbAg

A relaxed structure of Hf3NbAg (PBE, Alexandria via LeMat-Bulk).

Computed properties:
The calculation puts the final energy at -0.5506 Ry per atom. For the excess energy over the best structure of this formula in the dataset, the calculation gives 0.0 meV per atom. As for the formation energy: 1.07 eV per atom. For the size of the total moment, the calculation gives 0.000 μB per formula unit. The calculation puts the calculated volume at 26.119 Å³/atom.

POSCAR file:
```
Hf3NbAg
1.0
5.074 0.000 0.000
0.000 5.074 0.000
0.000 0.000 5.074
Hf Nb Ag
3 1 1
Direct
0.000 0.000 0.500
0.000 0.500 0.000
0.500 0.000 0.000
0.000 0.000 0.000
0.500 0.500 0.500
```

---

# Hf2NbAg2

A relaxed structure of Hf2NbAg2 (PBE, Alexandria via LeMat-Bulk).

Computed properties:
The calculation puts the final energy at -0.5054 Ry per atom. For the excess energy over the best structure of this formula in the dataset, the calculation gives 211.3 meV per atom. As for the formation energy: 0.26 eV per atom. For the size of the total moment, the calculation gives 0.000 μB per formula unit. The calculation puts the calculated volume at 19.881 Å³/atom.

POSCAR file:
```
Hf2NbAg2
1.0
7.948 0.000 0.000
0.000 7.948 0.000
0.000 0.000 3.147
Hf Nb Ag
4 2 4
Direct
0.179 0.321 0.000
0.321 0.821 0.000
0.679 0.179 0.000
0.821 0.679 0.000
0.000 0.000 0.500
0.500 0.500 0.500
0.121 0.621 0.500
0.379 0.121 0.500
0.621 0.879 0.500
0.879 0.379 0.500
```

---

# Hf2NbAg

A relaxed structure of Hf2NbAg (PBE, Alexandria via LeMat-Bulk).

Computed properties:
The calculation puts the final energy at -0.5934 Ry per atom. For the excess energy over the best structure of this formula in the dataset, the calculation gives 158.9 meV per atom. As for the formation energy: 0.13 eV per atom. For the size of the total moment, the calculation gives 0.000 μB per formula unit. The calculation puts the calculated volume at 20.517 Å³/atom.

POSCAR file:
```
Hf2NbAg
1.0
1.569 0.906 9.623
-1.569 0.906 9.623
0.000 -1.812 9.623
Hf Nb Ag
2 1 1
Direct
0.249 0.249 0.249
0.751 0.751 0.751
0.500 0.500 0.500
0.000 0.000 0.000
```

---

# Hf2NbAg

A relaxed structure of Hf2NbAg (PBE, Alexandria via LeMat-Bulk).

Computed properties:
The calculation puts the final energy at -0.5933 Ry per atom. For the excess energy over the best structure of this formula in the dataset, the calculation gives 159.8 meV per atom. As for the formation energy: 0.13 eV per atom. For the size of the total moment, the calculation gives 0.000 μB per formula unit. The calculation puts the calculated volume at 21.229 Å³/atom.

POSCAR file:
```
Hf2NbAg
1.0
3.399 0.000 0.000
0.000 1.602 7.797
0.000 -1.602 7.797
Hf Nb Ag
2 1 1
Direct
0.000 0.000 0.000
0.000 0.225 0.225
0.500 0.613 0.613
0.500 0.843 0.843
```

---

# HfNbAg2

A relaxed structure of HfNbAg2 (PBE, Alexandria via LeMat-Bulk).

Computed properties:
The calculation puts the final energy at -0.4305 Ry per atom. For the excess energy over the best structure of this formula in the dataset, the calculation gives 271.4 meV per atom. As for the formation energy: 0.57 eV per atom. For the size of the total moment, the calculation gives 0.000 μB per formula unit. The calculation puts the calculated volume at 20.089 Å³/atom.

POSCAR file:
```
HfNbAg2
1.0
-3.844 3.844 2.719
3.844 -3.844 2.719
3.844 3.844 -2.719
Hf Nb Ag
2 2 4
Direct
0.000 0.000 0.000
0.750 0.250 0.500
0.250 0.750 0.500
0.500 0.500 0.000
0.128 0.125 0.503
0.375 0.872 0.997
0.622 0.625 0.497
0.875 0.378 0.003
```

---

# HfNbAg2

A relaxed structure of HfNbAg2 (PBE, Alexandria via LeMat-Bulk).

Computed properties:
The calculation puts the final energy at -0.4505 Ry per atom. For the excess energy over the best structure of this formula in the dataset, the calculation gives 0.0 meV per atom. As for the formation energy: 0.30 eV per atom. For the size of the total moment, the calculation gives 0.000 μB per formula unit. The calculation puts the calculated volume at 19.006 Å³/atom.

POSCAR file:
```
HfNbAg2
1.0
0.000 3.362 3.362
3.362 0.000 3.362
3.362 3.362 0.000
Hf Nb Ag
1 1 2
Direct
0.000 0.000 0.000
0.500 0.500 0.500
0.250 0.250 0.250
0.750 0.750 0.750
```